## KNaIn2Pt2 (PBE)

Data for a geometry-optimized KNaIn2Pt2 structure.

Summary:
Total magnetization (μB/atom): 0.000
ρ (g/cm³): 7.4
Calculated total energy (eV per atom): -3.67
SG: No. 164
Formation energy from the elements (meV/atom): -342

Cell: 4.7459 4.7459 7.8899 Å, 90.00 90.00 120.00°
Fractional positions:
K1 0.0000 0.0000 0.0000
Na1 0.0000 0.0000 0.5000
In1 0.3333 0.6667 0.6746
In2 0.6667 0.3333 0.3254
Pt1 0.3333 0.6667 0.3144
Pt2 0.6667 0.3333 0.6856